Entry 1:
DFT (PBE) results for Y2BiRuO8 after structural relaxation.

Output
- formation energy from raw total energies (eV/atom) = -1.96
- density of states at the Fermi level (states/eV/f.u.) = 4.45
- energy (eV per atom) = -7.439

Structure (POSCAR):
```
Y2BiRuO8
1.0
-1.214 -2.239 -4.348
-0.036 -4.411 2.421
-6.529 0.821 1.400
Y O Bi Ru
2 8 1 1
Cartesian
-5.550 -2.706 0.093
-2.229 -3.123 -0.619
-7.440 -4.030 -0.003
-2.462 -2.452 -2.811
-0.338 -1.799 -0.523
-3.647 -1.618 0.109
-5.316 -3.377 2.284
-4.132 -4.211 -0.635
-1.709 -3.831 1.511
-6.070 -1.998 -2.038
-3.265 0.411 0.700
0.000 0.000 0.000
```


Entry 2:
DFT (PBE) results for YBiRuO6 after structural relaxation.

Output
- formation energy from raw total energies (eV/atom) = -1.62
- density of states at the Fermi level (states/eV/f.u.) = 3.96
- energy (eV per atom) = -7.105

Structure (POSCAR):
```
YBiRuO6
1.0
5.550 0.000 0.000
-2.775 4.807 0.000
0.000 0.000 9.490
Bi O Ru Y
2 12 2 2
Cartesian
0.000 0.000 4.745
0.000 0.000 0.000
1.956 2.999 1.270
-1.619 3.193 8.219
1.156 1.613 3.475
0.800 4.612 8.219
4.394 1.613 1.270
0.819 1.808 8.219
-0.819 1.808 6.015
1.619 3.193 6.015
3.594 2.999 3.475
-0.800 4.612 6.015
3.575 0.195 3.475
1.975 0.195 1.270
2.775 1.602 2.372
0.000 3.205 7.117
2.775 1.602 7.117
0.000 3.205 2.372
```


Entry 3:
DFT (PBE) results for Y3BiRu4O14 after structural relaxation.

Output
- formation energy from raw total energies (eV/atom) = -1.87
- density of states at the Fermi level (states/eV/f.u.) = 14.32
- energy (eV per atom) = -7.768

Structure (POSCAR):
```
Y3BiRu4O14
1.0
-4.274 0.946 -5.822
4.654 -5.599 0.231
-5.483 -4.610 -1.281
Ru O Bi Y
4 14 1 3
Cartesian
-1.189 -5.918 -4.645
-1.794 -8.696 -2.375
-4.121 -5.897 -2.490
-3.931 -8.223 -5.286
-5.150 -4.420 -3.379
-3.091 -7.374 -1.601
-4.450 -1.215 -6.045
0.043 -4.844 -3.447
-2.388 -2.115 -3.147
-4.859 -6.983 -4.009
-2.422 -6.992 -5.844
-2.583 -5.022 -3.477
-0.653 -8.094 -0.836
-0.613 -7.393 -3.379
-2.934 -9.298 -3.914
-0.371 -5.069 -0.552
-3.382 -4.811 -0.971
-1.766 -4.444 -5.912
-6.258 -5.424 -5.401
0.948 -6.391 -1.734
-1.379 -3.592 -1.850
-3.516 -3.119 -4.761
```


Entry 4:
DFT (PBE) results for Zn2Bi6Ru8O27 after structural relaxation.

Output
- formation energy from raw total energies (eV/atom) = -1.07
- density of states at the Fermi level (states/eV/f.u.) = 19.47
- energy (eV per atom) = -6.513

Structure (POSCAR):
```
Zn2Bi6Ru8O27
1.0
7.279 0.005 -0.023
0.092 10.310 -0.008
-0.030 -0.065 7.278
O Ru Zn Bi
27 8 2 6
Cartesian
5.506 3.461 7.141
3.410 3.838 2.062
0.306 3.877 2.080
0.427 3.902 5.135
3.961 8.943 5.720
5.469 6.984 -0.009
1.858 9.370 7.253
3.970 9.022 1.546
1.977 1.918 3.587
0.371 1.429 1.259
7.015 8.892 5.844
4.008 6.374 5.108
3.298 1.278 1.461
4.164 6.426 2.278
5.517 4.153 3.701
6.941 6.403 5.058
5.420 0.631 0.137
3.067 1.088 5.811
1.870 5.876 3.576
1.770 9.334 3.672
5.603 8.676 3.651
1.807 3.390 7.254
6.994 6.456 2.126
3.283 3.844 5.153
7.061 8.992 1.422
1.895 6.445 0.007
0.059 1.240 5.528
7.326 10.310 -0.027
1.823 2.535 5.407
5.490 7.665 5.452
5.514 7.741 1.818
3.691 5.104 3.617
0.047 5.145 3.620
3.708 10.294 -0.003
1.851 2.580 1.789
7.196 10.034 4.106
5.959 2.779 5.282
7.322 5.129 -0.005
3.595 0.080 3.695
1.788 7.854 1.831
3.677 4.957 7.169
1.888 7.716 5.445
5.541 2.455 1.770
```


Entry 5:
DFT (PBE) results for BiS3O9 after structural relaxation.

Output
- formation energy from raw total energies (eV/atom) = -1.15
- energy (eV per atom) = -5.837

Structure (POSCAR):
```
BiS3O9
1.0
-1.675 -6.935 0.633
4.275 -4.269 5.064
-4.824 -1.775 8.314
O S Bi
18 6 2
Cartesian
-3.168 -4.630 6.733
-1.380 -8.458 9.935
-3.603 -9.361 10.603
-2.876 -1.866 5.737
1.395 -4.265 4.217
2.528 -6.764 5.501
-5.534 -8.133 8.532
0.105 -6.182 5.147
-0.761 -5.063 10.826
-2.358 -6.908 7.253
-3.282 -6.146 3.896
-4.793 -6.380 6.904
0.915 -7.117 7.329
-3.558 -5.556 8.925
0.752 -8.479 5.346
-1.013 -4.221 4.335
-1.739 -8.058 3.485
0.307 -4.035 6.420
0.230 -4.528 5.078
-2.448 -6.873 2.816
-2.576 -9.288 9.450
1.215 -7.173 5.895
-1.159 -12.166 12.188
-3.325 -5.889 7.517
0.898 -8.234 9.597
1.850 -2.408 2.652
```


Entry 6:
DFT (PBE) results for Bi2S2O after structural relaxation.

Output
- formation energy from raw total energies (eV/atom) = -0.67
- energy (eV per atom) = -4.862

Structure (POSCAR):
```
Bi2S2O
1.0
-3.029 1.073 2.345
-2.154 -3.040 -1.393
5.060 -8.326 10.347
Bi O S
4 2 4
Cartesian
1.468 -4.371 7.271
-0.835 -0.582 2.562
3.303 -8.728 8.261
1.000 -4.939 3.552
-0.062 -5.147 5.649
2.530 -4.163 5.173
2.400 -7.242 6.414
3.015 -6.918 10.436
0.068 -2.068 4.408
-0.547 -2.392 0.387
```


Entry 7:
DFT (PBE) results for BiSO6 after structural relaxation.

Output
- formation energy from raw total energies (eV/atom) = -0.40
- density of states at the Fermi level (states/eV/f.u.) = 3.22
- energy (eV per atom) = -5.120

Structure (POSCAR):
```
BiSO6
1.0
4.438 -0.506 -0.226
-0.171 4.464 -0.226
0.995 0.923 4.265
O S Bi
6 1 1
Cartesian
4.065 3.771 3.636
0.446 3.492 0.945
1.197 1.110 0.178
1.747 4.698 2.869
4.816 1.389 2.869
3.515 0.183 0.945
0.000 0.000 0.000
2.631 2.440 1.907
```


Entry 8:
DFT (PBE) results for Bi2S2O after structural relaxation.

Output
- formation energy from raw total energies (eV/atom) = -0.65
- density of states at the Fermi level (states/eV/f.u.) = 0.00
- energy (eV per atom) = -4.842

Structure (POSCAR):
```
Bi2S2O
1.0
-2.616 1.556 -2.499
-5.637 -3.165 3.930
0.845 5.513 5.651
Bi S O
4 4 2
Cartesian
-1.067 5.242 4.381
-5.674 -0.936 5.357
-4.309 3.394 3.521
-4.831 -0.490 1.648
-2.243 4.188 1.852
-1.470 -0.190 1.420
-3.660 0.562 4.181
-5.970 4.076 5.684
-2.638 3.788 5.120
-6.482 -0.845 3.156
```